(i)
CeNdY: optimized geometry, PBE-GGA.

## Properties
Space group: Pmma (51)

a b c (Å): 6.5211 3.4767 8.7836
angles (deg): 90.00 90.00 90.00
With the nearest neighbours (Å) after each atom.
Fractional coordinates of all 6 atoms:
Ce: 0.2500 0.0000 0.1542  2 Nd 3.45, 6 Y 3.45-3.71, 2 Ce 3.48
Ce: 0.7500 0.0000 0.8458  2 Nd 3.45, 6 Y 3.45-3.71, 2 Ce 3.48
Nd: 0.0000 0.0000 0.5000  4 Nd 3.26-3.48, 2 Ce 3.45, 4 Y 3.65
Nd: 0.5000 0.0000 0.5000  4 Nd 3.26-3.48, 2 Ce 3.45, 4 Y 3.65
Y: 0.2500 0.5000 0.8145  6 Ce 3.45-3.71, 2 Y 3.48, 4 Nd 3.65
Y: 0.7500 0.5000 0.1855  6 Ce 3.45-3.71, 2 Y 3.48, 4 Nd 3.65

(ii)
CeNdY: optimized geometry, PBE-GGA.

## Properties
Space group: I4mm (107)

a b c (Å): 6.3302 6.3302 6.3302
angles (deg): 141.21 141.21 56.02
With the nearest neighbours (Å) after each atom.
Fractional coordinates of all 3 atoms:
Ce: 0.0000 0.0000 0.0000  5 Y 3.47-3.80, 5 Nd 3.55-3.65
Nd: 0.3267 0.3267 0.0000  5 Y 3.51-3.72, 5 Ce 3.55-3.65
Y: 0.6598 0.6598 0.0000  5 Ce 3.47-3.80, 5 Nd 3.51-3.72

Result of the stability comparison: (i) is the least stable of them.

(i)
CeNd12Y7: optimized geometry, PBE-GGA.

## Properties
Space group: R-3 (148)

a b c (Å): 9.7806 9.7806 9.7806
angles (deg): 110.55 110.55 110.55
With the nearest neighbours (Å) after each atom.
Fractional coordinates of all 20 atoms:
Ce: 0.0000 0.0000 0.0000  6 Y 3.67, 6 Nd 3.70
Nd: 0.0805 0.3746 0.5829  4 Y 3.53-3.67, 8 Nd 3.67-3.90
Nd: 0.0968 0.7312 0.1563  3 Y 3.41-3.49, 7 Nd 3.67-3.78, 1 Ce 3.70
Nd: 0.1563 0.0968 0.7312  3 Y 3.41-3.49, 7 Nd 3.67-3.78, 1 Ce 3.70
Nd: 0.2688 0.8437 0.9032  3 Y 3.41-3.49, 7 Nd 3.67-3.78, 1 Ce 3.70
Nd: 0.3746 0.5829 0.0805  4 Y 3.53-3.67, 8 Nd 3.67-3.90
Nd: 0.4171 0.9195 0.6254  4 Y 3.53-3.67, 8 Nd 3.67-3.90
Nd: 0.5829 0.0805 0.3746  4 Y 3.53-3.67, 8 Nd 3.67-3.90
Nd: 0.6254 0.4171 0.9195  4 Y 3.53-3.67, 8 Nd 3.67-3.90
Nd: 0.7312 0.1563 0.0968  3 Y 3.41-3.49, 7 Nd 3.67-3.78, 1 Ce 3.70
Nd: 0.8437 0.9032 0.2688  3 Y 3.41-3.49, 7 Nd 3.67-3.78, 1 Ce 3.70
Nd: 0.9032 0.2688 0.8437  3 Y 3.41-3.49, 7 Nd 3.67-3.78, 1 Ce 3.70
Nd: 0.9195 0.6254 0.4171  4 Y 3.53-3.67, 8 Nd 3.67-3.90
Y: 0.1585 0.4561 0.2852  1 Y 3.03
Y: 0.2852 0.1585 0.4561  1 Y 3.03
Y: 0.4561 0.2852 0.1585  1 Y 3.03
Y: 0.5000 0.5000 0.5000  6 Y 3.03
Y: 0.5439 0.7148 0.8415  1 Y 3.03
Y: 0.7148 0.8415 0.5439  1 Y 3.03
Y: 0.8415 0.5439 0.7148  1 Y 3.03

(ii)
CeNd12Y7: optimized geometry, PBE-GGA.

## Properties
Space group: R-3 (148)

a b c (Å): 11.1386 11.1386 11.1386
angles (deg): 115.90 115.90 115.90
With the nearest neighbours (Å) after each atom.
Fractional coordinates of all 20 atoms:
Ce: 0.0000 0.0000 0.0000  8 Y 3.20-3.43
Nd: 0.0788 0.2924 0.5037  4 Nd 3.24-3.53, 2 Y 3.48-3.57
Nd: 0.2049 0.7489 0.2705  5 Nd 3.24-3.54, 2 Y 3.25-3.39
Nd: 0.2511 0.7295 0.7951  5 Nd 3.24-3.54, 2 Y 3.25-3.39
Nd: 0.2705 0.2049 0.7489  5 Nd 3.24-3.54, 2 Y 3.25-3.39
Nd: 0.2924 0.5037 0.0788  4 Nd 3.24-3.53, 2 Y 3.48-3.57
Nd: 0.4963 0.9212 0.7076  4 Nd 3.24-3.53, 2 Y 3.48-3.57
Nd: 0.5037 0.0788 0.2924  4 Nd 3.24-3.53, 2 Y 3.48-3.57
Nd: 0.7076 0.4963 0.9212  4 Nd 3.24-3.53, 2 Y 3.48-3.57
Nd: 0.7295 0.7951 0.2511  5 Nd 3.24-3.54, 2 Y 3.25-3.39
Nd: 0.7489 0.2705 0.2049  5 Nd 3.24-3.54, 2 Y 3.25-3.39
Nd: 0.7951 0.2511 0.7295  5 Nd 3.24-3.54, 2 Y 3.25-3.39
Nd: 0.9212 0.7076 0.4963  4 Nd 3.24-3.53, 2 Y 3.48-3.57
Y: 0.0722 0.3713 0.2086  1 Ce 3.20, 4 Nd 3.25-3.57, 1 Y 3.43
Y: 0.2086 0.0722 0.3713  1 Ce 3.20, 4 Nd 3.25-3.57, 1 Y 3.43
Y: 0.3713 0.2086 0.0722  1 Ce 3.20, 4 Nd 3.25-3.57, 1 Y 3.43
Y: 0.5000 0.5000 0.5000  6 Y 3.43, 2 Ce 3.43
Y: 0.6287 0.7914 0.9278  1 Ce 3.20, 4 Nd 3.25-3.57, 1 Y 3.43
Y: 0.7914 0.9278 0.6287  1 Ce 3.20, 4 Nd 3.25-3.57, 1 Y 3.43
Y: 0.9278 0.6287 0.7914  1 Ce 3.20, 4 Nd 3.25-3.57, 1 Y 3.43

Result of the stability comparison: (ii) is the least stable of them.

(i)
CeNd7Y12: optimized geometry, PBE-GGA.

## Properties
Space group: R-3 (148)

a b c (Å): 8.7953 8.7953 8.7953
angles (deg): 90.17 90.17 90.17
With the nearest neighbours (Å) after each atom.
Fractional coordinates of all 20 atoms:
Ce: 0.0000 0.0000 0.0000  6 Nd 2.97
Nd: 0.0342 0.9342 0.3289  1 Ce 2.97, 1 Nd 3.28
Nd: 0.0658 0.6711 0.9658  1 Ce 2.97, 1 Nd 3.28
Nd: 0.3289 0.0342 0.9342  1 Ce 2.97, 1 Nd 3.28
Nd: 0.5000 0.5000 0.5000  12 Y 3.54-3.55
Nd: 0.6711 0.9658 0.0658  1 Ce 2.97, 1 Nd 3.28
Nd: 0.9342 0.3289 0.0342  1 Ce 2.97, 1 Nd 3.28
Nd: 0.9658 0.0658 0.6711  1 Ce 2.97, 1 Nd 3.28
Y: 0.1252 0.4548 0.3541  2 Nd 3.45-3.55, 8 Y 3.48-3.81
Y: 0.2266 0.3727 0.7666  5 Nd 3.45-3.63, 7 Y 3.61-3.81
Y: 0.2334 0.7734 0.6273  5 Nd 3.45-3.63, 7 Y 3.61-3.81
Y: 0.3541 0.1252 0.4548  2 Nd 3.45-3.55, 8 Y 3.48-3.81
Y: 0.3727 0.7666 0.2266  5 Nd 3.45-3.63, 7 Y 3.61-3.81
Y: 0.4548 0.3541 0.1252  2 Nd 3.45-3.55, 8 Y 3.48-3.81
Y: 0.5452 0.6459 0.8748  2 Nd 3.45-3.55, 8 Y 3.48-3.81
Y: 0.6273 0.2334 0.7734  5 Nd 3.45-3.63, 7 Y 3.61-3.81
Y: 0.6459 0.8748 0.5452  2 Nd 3.45-3.55, 8 Y 3.48-3.81
Y: 0.7666 0.2266 0.3727  5 Nd 3.45-3.63, 7 Y 3.61-3.81
Y: 0.7734 0.6273 0.2334  5 Nd 3.45-3.63, 7 Y 3.61-3.81
Y: 0.8748 0.5452 0.6459  2 Nd 3.45-3.55, 8 Y 3.48-3.81

(ii)
CeNd7Y12: optimized geometry, PBE-GGA.

## Properties
Space group: Im-3m (229)

a b c (Å): 9.8742 9.8742 9.8742
angles (deg): 109.47 109.47 109.47
With the nearest neighbours (Å) after each atom.
Fractional coordinates of all 20 atoms:
Ce: 0.0000 0.0000 0.0000  12 Y 4.04
Nd: 0.0000 0.0000 0.5000  6 Y 2.85
Nd: 0.0000 0.5000 0.0000  6 Y 2.85
Nd: 0.0000 0.5000 0.5000  12 Y 4.02-4.03
Nd: 0.5000 0.0000 0.0000  6 Y 2.85
Nd: 0.5000 0.0000 0.5000  12 Y 4.02-4.03
Nd: 0.5000 0.5000 0.0000  12 Y 4.02-4.03
Nd: 0.5000 0.5000 0.5000  6 Y 2.85
Y: 0.0000 0.2506 0.7494  2 Nd 2.85
Y: 0.0000 0.7494 0.2506  2 Nd 2.85
Y: 0.2506 0.0000 0.7494  2 Nd 2.85
Y: 0.2506 0.2506 0.5013  2 Nd 2.85
Y: 0.2506 0.5013 0.2506  2 Nd 2.85
Y: 0.2506 0.7494 0.0000  2 Nd 2.85
Y: 0.4987 0.7494 0.7494  2 Nd 2.85
Y: 0.5013 0.2506 0.2506  2 Nd 2.85
Y: 0.7494 0.0000 0.2506  2 Nd 2.85
Y: 0.7494 0.2506 0.0000  2 Nd 2.85
Y: 0.7494 0.4987 0.7494  2 Nd 2.85
Y: 0.7494 0.7494 0.4987  2 Nd 2.85

Result of the stability comparison: (ii) is the least stable of them.